[1]
ThAl2Pd6 | PBE | optimized geometry

abc: 7.991 7.991 7.991
angles: 60.00 60.00 60.00
Sites, in units of the cell vectors:
Al (0.125, 0.125, 0.625)
Pd (0.996, 0.996, 0.504)
Pd (0.746, 0.254, 0.254)
Pd (0.254, 0.746, 0.254)
Th (0.750, 0.750, 0.750)
Pd (0.504, 0.996, 0.504)
Al (0.125, 0.125, 0.125)
Pd (0.746, 0.746, 0.254)
Pd (0.996, 0.504, 0.504)
Al (0.125, 0.625, 0.125)
Pd (0.254, 0.254, 0.746)
Pd (0.504, 0.996, 0.996)
Pd (0.504, 0.504, 0.996)
Pd (0.996, 0.504, 0.996)
Pd (0.254, 0.746, 0.746)
Al (0.625, 0.125, 0.125)
Th (0.500, 0.500, 0.500)
Pd (0.746, 0.254, 0.746)

---

[2]
Ca2YRe | PBE | optimized geometry

abc: 5.243 3.196 6.298
angles: 74.92 90.00 90.00
Sites, in units of the cell vectors:
Y (0.500, 0.750, 0.750)
Ca (0.000, 0.450, 0.475)
Ca (0.000, 0.050, 0.025)
Re (0.500, 0.250, 0.250)

---

[3]
DyHo2Th | PBE | optimized geometry

abc: 3.558 3.558 11.660
angles: 81.22 81.22 60.00
Sites, in units of the cell vectors:
Dy (0.000, 0.000, 0.000)
Th (0.500, 0.500, 0.500)
Ho (0.249, 0.249, 0.253)
Ho (0.751, 0.751, 0.747)

---

[4]
Tb2Pm3Hg3 | PBE | optimized geometry

abc: 3.779 5.444 11.676
angles: 103.48 99.31 90.00
Each line ends with the local moment (μB).
Sites, in units of the cell vectors:
Pm (0.622, 0.622, 0.244)  0.04
Hg (0.879, 0.879, 0.758)  0.01
Hg (0.121, 0.121, 0.242)  0.01
Pm (0.500, 0.000, 0.000)  0.10
Pm (0.378, 0.378, 0.756)  0.04
Tb (0.267, 0.767, 0.534)  0.01
Hg (0.000, 0.500, 0.000)  0.01
Tb (0.733, 0.233, 0.466)  0.01

---

| no. | total energy (eV for the cell shown) |
| --- | --- |
| 1 | -99.949 |
| 2 | -20.213 |
| 3 | -21.089 |
| 4 | -27.276 |